[1]
The following is a DFT calculation (PBE) of a relaxed structure of Re2IrRh.

Summary:
The magnetization comes out at 0.00 μB/f.u. The value obtained for the density of states at the Fermi level is 16.06 states/eV/cell. For the formation enthalpy at 0 K, the calculation gives 552 meV per atom. As for the raw total energy: -38.90 eV/f.u.

```
data_Re2IrRh
_space_group_name_H-M_alt 'I -4 2 d'
_space_group_IT_number 122
_space_group_name_Hall 'I -4 2bw'
_cell_length_a 3.7746
_cell_length_b 3.7746
_cell_length_c 18.0428
_cell_angle_alpha 90.00
_cell_angle_beta 90.00
_cell_angle_gamma 90.00
loop_
_atom_site_label
_atom_site_fract_x
_atom_site_fract_y
_atom_site_fract_z
Re1 0.2305 0.2500 0.1250
Ir1 0.0000 0.0000 0.5000
Rh1 0.0000 0.0000 0.0000
```

[2]
The following is a DFT calculation (PBE) of a relaxed structure of ReIr2Rh.

Summary:
The magnetization comes out at 0.00 μB/f.u. The value obtained for the density of states at the Fermi level is 5.18 states/eV/cell. For the formation enthalpy at 0 K, the calculation gives -114 meV per atom. As for the raw total energy: -37.98 eV/f.u.

```
data_ReIr2Rh
_space_group_name_H-M_alt 'P 4/m m m'
_space_group_IT_number 123
_space_group_name_Hall '-P 4 2'
_cell_length_a 2.7402
_cell_length_b 2.7402
_cell_length_c 7.7472
_cell_angle_alpha 90.00
_cell_angle_beta 90.00
_cell_angle_gamma 90.00
loop_
_atom_site_label
_atom_site_fract_x
_atom_site_fract_y
_atom_site_fract_z
Re1 0.0000 0.0000 0.0000
Ir1 0.5000 0.5000 0.2454
Rh1 0.0000 0.0000 0.5000
```